Below is YZnMo3 after structural relaxation, with properties calculated at the GGA-PBE level.

a = 4.819 Å, b = 4.819 Å, c = 4.819 Å
α = 90.00°, β = 90.00°, γ = 90.00°
Sites, in units of the cell vectors:
Mo 0.000 0.000 0.500
Zn 0.500 0.500 0.500
Mo 0.000 0.500 0.000
Mo 0.500 0.000 0.000
Y 0.000 0.000 0.000

Computed properties:
Electronic total energy, eV/atom: -5.58
Calculated volume, Å³ per cell: 112
Space group: Pm-3m, No. 221
Energy relative to the elements, eV per formula unit: 12.35
Offset from the most stable computed form, meV/atom: 1194

Below is ReMo3 after structural relaxation, with properties calculated at the GGA-PBE level.

a = 4.054 Å, b = 5.588 Å, c = 2.787 Å
α = 90.00°, β = 90.00°, γ = 90.00°
Sites, in units of the cell vectors:
Mo 0.500 0.750 0.500
Mo 0.000 0.495 0.000
Mo 0.000 0.005 0.000
Re 0.500 0.250 0.500

Computed properties:
Electronic total energy, eV/atom: -10.94
Calculated volume, Å³ per cell: 63
Space group: Pmmm, No. 47
Energy relative to the elements, eV per formula unit: 1.16

calculated volume of number 2 (ReMo3)? 63 Å³ per cell